A geometry-optimized Ho3Mg2Ir3 structure. Source: the Alexandria database, functional GGA-PBE.

Summary:
Calculated formation energy ... -676 meV per atom

```
16
Lattice="8.200 0.000 0.000 -4.100 7.101 0.000 0.000 0.000 5.720" Properties=species:S:1:pos:R:3 pbc="T T T"
Ho -1.118 1.936 1.430
Ho -2.982 5.166 4.290
Ho 2.235 0.000 1.430
Ho 1.118 1.936 4.290
Ho 5.965 0.000 4.290
Ho 2.982 5.166 1.430
Mg 0.000 4.734 0.000
Mg 0.000 4.734 2.860
Mg 4.100 2.367 0.000
Mg 4.100 2.367 2.860
Ir -1.587 2.749 4.290
Ir -2.513 4.352 1.430
Ir 3.174 0.000 4.290
Ir 1.587 2.749 1.430
Ir 5.025 0.000 1.430
Ir 2.513 4.352 4.290
```

=====

A geometry-optimized Ho3MgIr8 structure. Source: the Alexandria database, functional GGA-PBE.

Summary:
Calculated formation energy ... -684 meV per atom

```
12
Lattice="2.659 1.535 8.693 -2.659 1.535 8.693 0.000 -3.071 8.693" Properties=species:S:1:pos:R:3 pbc="T T T"
Ho 0.000 0.000 0.000
Ho 0.000 0.000 3.318
Ho 0.000 0.000 13.205
Mg 0.000 0.000 16.413
Ir -1.331 -0.769 10.385
Ir 0.000 -1.533 6.060
Ir -1.328 0.767 6.060
Ir 0.000 0.000 8.218
Ir 1.331 -0.769 10.385
Ir 1.328 0.767 6.060
Ir 0.000 1.537 10.385
Ir 0.000 0.000 21.262
```

=====

A geometry-optimized Ho2MgIr2 structure. Source: the Alexandria database, functional GGA-PBE.

Summary:
Calculated formation energy ... -746 meV per atom

```
10
Lattice="5.100 -2.707 0.000 5.100 2.707 0.000 -2.546 0.000 7.672" Properties=species:S:1:pos:R:3 pbc="T T T"
Ho 1.440 1.872 6.541
Ho 4.941 1.872 4.967
Ho 2.713 -1.872 2.705
Ho 6.214 -1.872 1.131
Mg 4.463 0.755 1.918
Mg 3.190 -0.755 5.754
Ir 2.450 0.837 3.711
Ir 6.476 0.837 0.125
Ir 1.178 -0.837 7.547
Ir 5.203 -0.837 3.961
```

=====

A geometry-optimized Ho3MgIr2 structure. Source: the Alexandria database, functional GGA-PBE.

Summary:
Calculated formation energy ... -666 meV per atom

```
12
Lattice="-3.295 6.535 3.497 3.295 -6.535 3.497 3.295 6.535 -3.497" Properties=species:S:1:pos:R:3 pbc="T T T"
Ho 3.295 -2.918 1.748
Ho 0.000 0.000 1.748
Ho 3.295 2.918 1.748
Ho 0.000 3.617 1.748
Ho 0.000 0.000 5.245
Ho 0.000 9.453 1.748
Mg 3.295 0.000 0.000
Mg 0.000 6.535 0.000
Ir 1.373 1.802 0.000
Ir 1.373 -1.802 3.497
Ir 1.922 8.337 0.000
Ir 1.922 4.733 3.497
```

=====

A geometry-optimized Ho4Mg3Ir structure. Source: the Alexandria database, functional GGA-PBE.

Summary:
Calculated formation energy ... -289 meV per atom

```
8
Lattice="3.563 0.000 0.000 0.000 3.563 0.000 0.000 0.000 15.870" Properties=species:S:1:pos:R:3 pbc="T T T"
Ho 0.000 0.000 1.583
Ho 0.000 0.000 5.894
Ho 0.000 0.000 9.976
Ho 0.000 0.000 14.287
Mg 1.781 1.781 3.811
Mg 1.781 1.781 7.935
Mg 1.781 1.781 12.059
Ir 1.781 1.781 0.000
```

=====

A geometry-optimized Ho3MgIr structure. Source: the Alexandria database, functional GGA-PBE.

Summary:
Calculated formation energy ... -335 meV per atom

```
10
Lattice="5.159 -7.332 0.000 5.159 7.332 0.000 0.000 0.000 3.922" Properties=species:S:1:pos:R:3 pbc="T T T"
Ho 3.052 2.820 1.959
Ho 5.159 5.497 0.000
Ho 6.101 1.838 3.922
Ho 3.052 -2.820 1.959
Ho 6.101 -1.838 3.922
Ho 5.159 -5.497 0.000
Mg 3.036 0.000 3.920
Mg 8.199 0.000 1.964
Ir 5.632 3.665 1.960
Ir 5.632 -3.665 1.960
```